{
  "formula": "Pm6Sm2Ru",
  "functional": "PBE",
  "state": "relaxed",
  "space_group": "P2/m, No. 10",
  "crystal_system": "monoclinic",
  "final_energy_ev_per_atom": -5.2693,
  "delta_e_f_kj_per_mol_atoms": -2.20,
  "cell": [[-1.865, -2.783, 1.781], [7.578, -2.706, 3.702], [-9.428, 8.263, 3.036]],
  "species": ["Sm", "Sm", "Pm", "Pm", "Pm", "Pm", "Pm", "Pm", "Ru"],
  "frac_coords": [[0.500, 0.231, 0.532], [0.500, 0.769, 0.468], [0.500, 0.277, 0.050], [0.999, 0.267, 0.301], [0.500, 0.723, 0.950], [0.001, 0.733, 0.699], [0.000, 0.230, 0.784], [0.000, 0.770, 0.216], [0.000, 0.000, 0.000]]
}


{
  "formula": "Pm3SmRu",
  "functional": "PBE",
  "state": "relaxed",
  "space_group": "C2/m, No. 12",
  "crystal_system": "monoclinic",
  "final_energy_ev_per_atom": -5.8117,
  "delta_e_f_kj_per_mol_atoms": -15.66,
  "polymorph_energy_mev_per_atom": 0,
  "cell": [[6.873, -0.099, -2.824], [-3.436, 6.142, -2.386], [0.150, 0.081, 7.436]],
  "species": ["Ru", "Ru", "Pm", "Pm", "Pm", "Pm", "Pm", "Pm", "Sm", "Sm"],
  "frac_coords": [[0.623, 0.750, 0.373], [0.377, 0.250, 0.627], [0.243, 0.448, 0.294], [0.294, 0.551, 0.844], [0.845, 0.050, 0.294], [0.155, 0.950, 0.706], [0.757, 0.552, 0.706], [0.706, 0.449, 0.156], [0.296, 0.950, 0.245], [0.704, 0.050, 0.755]]
}


{
  "formula": "PmSmRu2",
  "functional": "PBE",
  "state": "relaxed",
  "space_group": "Fm-3m, No. 225",
  "crystal_system": "cubic",
  "final_energy_ev_per_atom": -7.1367,
  "delta_e_f_kj_per_mol_atoms": -12.67,
  "polymorph_energy_mev_per_atom": 4,
  "cell": [[-0.544, -0.693, -4.838], [3.947, -0.071, -2.933], [1.458, -4.221, -2.059]],
  "species": ["Sm", "Pm", "Ru", "Ru"],
  "frac_coords": [[0.000, 0.000, 0.000], [0.500, 0.500, 0.500], [0.750, 0.750, 0.750], [0.250, 0.250, 0.250]]
}


{
  "formula": "PmSmRu",
  "functional": "PBE",
  "state": "relaxed",
  "space_group": "F-43m, No. 216",
  "crystal_system": "cubic",
  "final_energy_ev_per_atom": -6.4322,
  "delta_e_f_kj_per_mol_atoms": -17.72,
  "polymorph_energy_mev_per_atom": 29,
  "cell": [[4.881, 0.000, 0.000], [2.440, 4.227, 0.000], [2.440, 1.409, 3.985]],
  "species": ["Pm", "Sm", "Ru"],
  "frac_coords": [[0.000, 0.000, 0.000], [0.500, 0.500, 0.500], [0.250, 0.250, 0.250]]
}


{
  "formula": "PmSmRu",
  "functional": "PBE",
  "state": "relaxed",
  "space_group": "C2/m, No. 12",
  "crystal_system": "monoclinic",
  "final_energy_ev_per_atom": -6.4614,
  "delta_e_f_kj_per_mol_atoms": -20.54,
  "polymorph_energy_mev_per_atom": 0,
  "cell": [[3.726, 0.000, 1.306], [1.503, 6.903, 1.680], [-0.119, 0.059, 6.308]],
  "species": ["Ru", "Ru", "Pm", "Pm", "Sm", "Sm"],
  "frac_coords": [[0.121, 0.304, 0.454], [0.879, 0.696, 0.546], [0.576, 0.626, 0.222], [0.424, 0.374, 0.778], [0.819, 0.093, 0.268], [0.181, 0.907, 0.732]]
}


{
  "formula": "PmSm4Ru",
  "functional": "PBE",
  "state": "relaxed",
  "space_group": "C2/m, No. 12",
  "crystal_system": "monoclinic",
  "final_energy_ev_per_atom": -5.5496,
  "delta_e_f_kj_per_mol_atoms": -6.35,
  "cell": [[-2.716, 4.277, -3.389], [0.023, -4.685, -5.931], [-5.943, -2.659, 6.893]],
  "species": ["Sm", "Sm", "Sm", "Sm", "Sm", "Sm", "Sm", "Sm", "Pm", "Pm", "Ru", "Ru"],
  "frac_coords": [[0.387, 0.141, 0.773], [0.830, 0.329, 0.659], [0.613, 0.368, 0.227], [0.613, 0.859, 0.227], [0.387, 0.632, 0.773], [0.000, 0.208, 0.000], [0.000, 0.792, 0.000], [0.170, 0.671, 0.341], [0.200, 0.200, 0.400], [0.800, 0.800, 0.600], [0.259, 0.500, 0.001], [0.741, 0.500, 0.999]]
}


{
  "formula": "PmSmRu",
  "functional": "PBE",
  "state": "relaxed",
  "space_group": "I4mm, No. 107",
  "crystal_system": "tetragonal",
  "final_energy_ev_per_atom": -6.4492,
  "delta_e_f_kj_per_mol_atoms": -19.36,
  "polymorph_energy_mev_per_atom": 12,
  "cell": [[3.474, 0.000, 0.000], [0.000, 3.474, 0.000], [-1.737, -1.737, 6.748]],
  "species": ["Sm", "Pm", "Ru"],
  "frac_coords": [[0.325, 0.325, 0.651], [0.575, 0.575, 0.151], [0.949, 0.949, 0.899]]
}


{
  "formula": "Pm3SmRu",
  "functional": "PBE",
  "state": "relaxed",
  "space_group": "Pm-3m, No. 221",
  "crystal_system": "cubic",
  "final_energy_ev_per_atom": -5.6291,
  "delta_e_f_kj_per_mol_atoms": 1.96,
  "polymorph_energy_mev_per_atom": 183,
  "cell": [[5.512, 0.000, 0.000], [0.000, 5.512, 0.000], [0.000, 0.000, 5.512]],
  "species": ["Pm", "Pm", "Pm", "Sm", "Ru"],
  "frac_coords": [[0.000, 0.000, 0.500], [0.500, 0.000, 0.000], [0.000, 0.500, 0.000], [0.500, 0.500, 0.500], [0.000, 0.000, 0.000]]
}


{
  "formula": "Pm2Sm3Ru2",
  "functional": "PBE",
  "state": "relaxed",
  "space_group": "C2/m, No. 12",
  "crystal_system": "monoclinic",
  "final_energy_ev_per_atom": -6.2667,
  "delta_e_f_kj_per_mol_atoms": -22.84,
  "cell": [[3.921, 0.000, 0.000], [-1.961, 6.113, -0.336], [0.000, -3.257, 8.279]],
  "species": ["Ru", "Ru", "Pm", "Pm", "Sm", "Sm", "Sm"],
  "frac_coords": [[0.181, 0.361, 0.232], [0.819, 0.639, 0.768], [0.833, 0.665, 0.193], [0.167, 0.335, 0.807], [0.380, 0.760, 0.575], [0.500, 0.000, 0.000], [0.620, 0.240, 0.425]]
}


{
  "formula": "PmSm3Ru2",
  "functional": "PBE",
  "state": "relaxed",
  "space_group": "C2/m, No. 12",
  "crystal_system": "monoclinic",
  "final_energy_ev_per_atom": -6.3976,
  "delta_e_f_kj_per_mol_atoms": -14.89,
  "cell": [[4.324, 0.000, 0.000], [2.162, 8.170, 0.616], [2.162, 2.638, 9.964]],
  "species": ["Pm", "Pm", "Sm", "Sm", "Sm", "Sm", "Sm", "Sm", "Ru", "Ru", "Ru", "Ru"],
  "frac_coords": [[0.573, 0.523, 0.331], [0.427, 0.477, 0.669], [0.946, 0.894, 0.215], [0.790, 0.830, 0.590], [0.670, 0.693, 0.967], [0.210, 0.170, 0.410], [0.330, 0.307, 0.033], [0.054, 0.106, 0.785], [0.619, 0.173, 0.589], [0.381, 0.827, 0.411], [0.864, 0.423, 0.849], [0.136, 0.577, 0.151]]
}


{
  "formula": "PmSm2Ru",
  "functional": "PBE",
  "state": "relaxed",
  "space_group": "Pnma, No. 62",
  "crystal_system": "orthorhombic",
  "final_energy_ev_per_atom": -6.0954,
  "delta_e_f_kj_per_mol_atoms": -22.12,
  "polymorph_energy_mev_per_atom": 0,
  "cell": [[6.445, 0.000, 0.000], [0.000, 7.385, 0.000], [0.000, 0.000, 9.574]],
  "species": ["Sm", "Sm", "Sm", "Sm", "Sm", "Sm", "Sm", "Sm", "Ru", "Ru", "Ru", "Ru", "Pm", "Pm", "Pm", "Pm"],
  "frac_coords": [[0.670, 0.823, 0.567], [0.170, 0.677, 0.067], [0.330, 0.177, 0.067], [0.670, 0.823, 0.933], [0.170, 0.677, 0.433], [0.830, 0.323, 0.567], [0.330, 0.177, 0.433], [0.830, 0.323, 0.933], [0.450, 0.886, 0.250], [0.550, 0.114, 0.750], [0.050, 0.386, 0.250], [0.950, 0.614, 0.750], [0.859, 0.042, 0.250], [0.359, 0.458, 0.750], [0.141, 0.958, 0.750], [0.641, 0.542, 0.250]]
}


{
  "formula": "PmSm2Ru2",
  "functional": "PBE",
  "state": "relaxed",
  "space_group": "C2/m, No. 12",
  "crystal_system": "monoclinic",
  "final_energy_ev_per_atom": -6.6351,
  "delta_e_f_kj_per_mol_atoms": -8.40,
  "cell": [[4.018, 0.000, 0.000], [0.000, 5.928, 0.214], [-2.009, -1.488, 5.312]],
  "species": ["Pm", "Sm", "Sm", "Ru", "Ru"],
  "frac_coords": [[0.000, 0.000, 0.000], [0.344, 0.377, 0.689], [0.656, 0.623, 0.311], [0.700, 0.134, 0.400], [0.300, 0.866, 0.600]]
}


{
  "formula": "Pm3SmRu8",
  "functional": "PBE",
  "state": "relaxed",
  "space_group": "Cm, No. 8",
  "crystal_system": "monoclinic",
  "final_energy_ev_per_atom": -7.9444,
  "delta_e_f_kj_per_mol_atoms": -17.33,
  "cell": [[5.156, 0.001, 1.564], [2.344, 4.593, 1.564], [-0.013, -0.008, 9.408]],
  "species": ["Pm", "Pm", "Pm", "Ru", "Ru", "Ru", "Ru", "Ru", "Ru", "Ru", "Ru", "Sm"],
  "frac_coords": [[0.500, 0.500, 0.500], [0.000, 0.000, 0.000], [0.375, 0.375, 0.875], [0.437, 0.937, 0.188], [0.937, 0.438, 0.687], [0.937, 0.937, 0.687], [0.438, 0.937, 0.687], [0.937, 0.437, 0.188], [0.687, 0.687, 0.938], [0.187, 0.187, 0.438], [0.437, 0.437, 0.188], [0.875, 0.875, 0.375]]
}


{
  "formula": "Pm3Sm3Ru2",
  "functional": "PBE",
  "state": "relaxed",
  "space_group": "Cmcm, No. 63",
  "crystal_system": "orthorhombic",
  "final_energy_ev_per_atom": -5.9911,
  "delta_e_f_kj_per_mol_atoms": -11.67,
  "cell": [[4.998, 0.000, 0.000], [-2.499, 6.277, 0.000], [0.000, 0.000, 14.612]],
  "species": ["Pm", "Pm", "Pm", "Pm", "Pm", "Pm", "Sm", "Sm", "Sm", "Sm", "Sm", "Sm", "Ru", "Ru", "Ru", "Ru"],
  "frac_coords": [[0.052, 0.103, 0.885], [0.052, 0.103, 0.615], [0.948, 0.897, 0.385], [0.617, 0.234, 0.250], [0.383, 0.766, 0.750], [0.948, 0.897, 0.115], [0.343, 0.686, 0.519], [0.657, 0.314, 0.019], [0.321, 0.642, 0.250], [0.679, 0.358, 0.750], [0.343, 0.686, 0.981], [0.657, 0.314, 0.481], [0.835, 0.670, 0.885], [0.165, 0.330, 0.385], [0.835, 0.670, 0.615], [0.165, 0.330, 0.115]]
}


{
  "formula": "Pm8SmRu2",
  "functional": "PBE",
  "state": "relaxed",
  "space_group": "C2/m, No. 12",
  "crystal_system": "monoclinic",
  "final_energy_ev_per_atom": -5.5600,
  "delta_e_f_kj_per_mol_atoms": 1.02,
  "cell": [[7.299, -0.843, -0.639], [-1.544, 7.453, 0.324], [-1.544, 2.318, 7.090]],
  "species": ["Pm", "Pm", "Pm", "Pm", "Pm", "Pm", "Pm", "Pm", "Sm", "Ru", "Ru"],
  "frac_coords": [[0.808, 0.668, 0.668], [0.304, 0.421, 0.812], [0.696, 0.188, 0.579], [0.696, 0.579, 0.188], [0.304, 0.878, 0.878], [0.192, 0.332, 0.332], [0.696, 0.122, 0.122], [0.304, 0.812, 0.421], [0.000, 0.000, 0.000], [0.403, 0.195, 0.195], [0.597, 0.805, 0.805]]
}


{
  "formula": "PmSm4Ru2",
  "functional": "PBE",
  "state": "relaxed",
  "space_group": "P2_1/m, No. 11",
  "crystal_system": "monoclinic",
  "final_energy_ev_per_atom": -6.1767,
  "delta_e_f_kj_per_mol_atoms": -14.58,
  "cell": [[-4.268, -0.294, 4.982], [5.425, -3.849, 4.422], [0.416, 7.865, 0.821]],
  "species": ["Pm", "Pm", "Ru", "Ru", "Ru", "Ru", "Sm", "Sm", "Sm", "Sm", "Sm", "Sm", "Sm", "Sm"],
  "frac_coords": [[0.750, 0.163, 0.027], [0.250, 0.837, 0.973], [0.750, 0.372, 0.409], [0.250, 0.628, 0.591], [0.250, 0.259, 0.982], [0.750, 0.741, 0.018], [0.002, 0.587, 0.244], [0.750, 0.020, 0.376], [0.750, 0.756, 0.678], [0.250, 0.980, 0.624], [0.250, 0.244, 0.322], [0.502, 0.413, 0.756], [0.498, 0.587, 0.244], [0.998, 0.413, 0.756]]
}


{
  "formula": "PmSmRu",
  "functional": "PBE",
  "state": "relaxed",
  "space_group": "C2/m, No. 12",
  "crystal_system": "monoclinic",
  "final_energy_ev_per_atom": -6.4347,
  "delta_e_f_kj_per_mol_atoms": -17.96,
  "polymorph_energy_mev_per_atom": 27,
  "cell": [[-3.426, 1.817, -1.812], [-0.339, -4.657, -4.031], [-1.894, -0.641, 7.995]],
  "species": ["Sm", "Sm", "Ru", "Ru", "Pm", "Pm"],
  "frac_coords": [[0.603, 0.888, 0.205], [0.397, 0.112, 0.795], [0.233, 0.153, 0.466], [0.767, 0.847, 0.534], [0.151, 0.473, 0.302], [0.849, 0.527, 0.698]]
}


{
  "formula": "PmSm3Ru8",
  "functional": "PBE",
  "state": "relaxed",
  "space_group": "R3m, No. 160",
  "crystal_system": "trigonal",
  "final_energy_ev_per_atom": -7.9514,
  "delta_e_f_kj_per_mol_atoms": -18.51,
  "cell": [[-3.064, -2.784, -3.437], [0.168, -5.378, -0.005], [-7.489, -2.931, 4.838]],
  "species": ["Sm", "Sm", "Sm", "Ru", "Ru", "Ru", "Ru", "Ru", "Ru", "Ru", "Ru", "Pm"],
  "frac_coords": [[0.375, 0.375, 0.875], [0.000, 0.000, 0.000], [0.500, 0.500, 0.500], [0.438, 0.438, 0.187], [0.688, 0.688, 0.937], [0.438, 0.938, 0.187], [0.188, 0.188, 0.437], [0.938, 0.938, 0.688], [0.938, 0.438, 0.187], [0.437, 0.938, 0.688], [0.938, 0.437, 0.688], [0.875, 0.875, 0.375]]
}


{
  "formula": "PmSm2Ru",
  "functional": "PBE",
  "state": "relaxed",
  "space_group": "R-3m, No. 166",
  "crystal_system": "trigonal",
  "final_energy_ev_per_atom": -5.7026,
  "delta_e_f_kj_per_mol_atoms": 15.78,
  "polymorph_energy_mev_per_atom": 393,
  "cell": [[-0.277, 0.918, 3.479], [-2.536, -1.519, 2.071], [5.952, -8.109, 4.487]],
  "species": ["Sm", "Sm", "Pm", "Ru"],
  "frac_coords": [[0.109, 0.109, 0.674], [0.891, 0.891, 0.326], [0.000, 0.000, 0.000], [0.500, 0.500, 0.500]]
}


{
  "formula": "PmSmRu2",
  "functional": "PBE",
  "state": "relaxed",
  "space_group": "P4/mmm, No. 123",
  "crystal_system": "tetragonal",
  "final_energy_ev_per_atom": -7.1406,
  "delta_e_f_kj_per_mol_atoms": -13.05,
  "polymorph_energy_mev_per_atom": 0,
  "cell": [[-1.332, 3.139, -0.688], [-1.828, -0.128, 2.956], [5.285, 2.987, 3.398]],
  "species": ["Ru", "Ru", "Sm", "Pm"],
  "frac_coords": [[0.000, 0.000, 0.251], [0.000, 0.000, 0.749], [0.500, 0.500, 0.500], [0.500, 0.500, 0.000]]
}